Compound: LiCo2P2O8
Source: Alexandria via LeMat-Bulk
Functional: PBE with a Hubbard U
Structure: optimized geometry

Cell and atoms, written as POSCAR:
```
LiCo2P2O8
1.0
5.222 0.000 0.000
1.633 7.850 0.000
0.466 0.255 8.821
Li Co P O
2 4 4 16
direct
0.000 0.000 0.000
0.279 0.403 0.387
0.318 0.185 0.715
0.452 0.642 0.064
0.807 0.285 0.187
0.883 0.788 0.522
0.341 0.792 0.731
0.362 0.259 0.047
0.841 0.186 0.517
0.883 0.678 0.192
0.081 0.765 0.099
0.097 0.254 0.544
0.113 0.714 0.683
0.164 0.160 0.125
0.233 0.972 0.798
0.276 0.323 0.887
0.370 0.418 0.147
0.485 0.677 0.860
0.532 0.804 0.596
0.600 0.790 0.192
0.645 0.152 0.045
0.677 0.308 0.401
0.680 0.178 0.667
0.831 0.519 0.108
0.924 0.008 0.447
0.980 0.627 0.354
```

Results
Space-group type: P1 (1)
Magnetic moment in μB/f.u.: 7.003
Mass density in g/cm³: 2.9
Relative energy among the computed polymorphs in meV/atom: 23
V in A^3/atom: 13.9